(1)
Computed, not measured: an optimized crystal structure of LiCo2 at the GGA-PBE level of DFT.

The energy of formation is 0.158 eV/atom. Its crystal system is orthorhombic.

The structure belongs to space group Immm (No. 71); the cell edges are 2.419, 3.775 and 7.296 Å and the angles 90.00°, 90.00° and 90.00°. The inequivalent atoms are Li at (0.000, 0.000, 0.000) and Co at (0.000, 0.000, 0.327).


(2)
Computed, not measured: an optimized crystal structure of LiCo2 at the GGA-PBE level of DFT.

The energy of formation is 0.144 eV/atom. Its crystal system is monoclinic.

The structure belongs to space group Cm (No. 8); the cell edges are 9.380, 2.484 and 6.137 Å and the angles 90.00°, 109.37° and 90.00°. The inequivalent atoms are Li at (0.000, 0.000, 0.000), Li at (0.151, 0.500, 0.350), Co at (0.126, 0.500, 0.747), Co at (0.289, 0.000, 0.087), Co at (0.326, 0.000, 0.681) and Co at (0.431, 0.500, 0.438).